Entry 1:
Here is an optimized crystal structure of Ta2Ni from the Alexandria database. Energies are from PBE.

ΔE_f	115	meV per atom
volume	48.8	Å³/f.u.
DOS at the Fermi energy	3.4	states/eV/f.u.

a = 12.498 Å, b = 12.498 Å, c = 12.498 Å
α = 167.08°, β = 167.08°, γ = 18.31°
Fractional coordinates of all 6 atoms:
Ta 0.324 0.824 0.500
Ta 0.176 0.676 0.500
Ta 0.574 0.574 0.000
Ta 0.426 0.426 0.000
Ni 0.000 0.000 0.000
Ni 0.750 0.250 0.500

Entry 2:
Here is an optimized crystal structure of LiCd2Se from the Alexandria database. Energies are from PBE.

volume	89.6	Å³/f.u.
DOS at the Fermi energy	0.7	states/eV/f.u.
E_form (uncorrected)	-0.4615	eV/atom

a = 3.696 Å, b = 3.906 Å, c = 6.508 Å
α = 72.58°, β = 90.00°, γ = 90.00°
Fractional coordinates of all 4 atoms:
Cd 0.000 0.805 0.015
Cd 0.500 0.202 0.223
Li 0.000 0.510 0.604
Se 0.500 0.983 0.659

Entry 3:
Here is an optimized crystal structure of Mn2CS from the Alexandria database. Energies are from PBE.

volume	37.4	Å³/f.u.
DOS at the Fermi energy	3.1	states/eV/f.u.
E_form (uncorrected)	0.5470	eV/atom

a = 3.754 Å, b = 3.754 Å, c = 3.754 Å
α = 60.00°, β = 60.00°, γ = 60.00°
Fractional coordinates of all 4 atoms:
S 0.500 0.500 0.500
Mn 0.250 0.250 0.250
Mn 0.750 0.750 0.750
C 0.000 0.000 0.000

Entry 4:
Here is an optimized crystal structure of Cs2NdTlI6 from the Alexandria database. Energies are from PBE.

volume	556.9	Å³/f.u.
DOS at the Fermi energy	0.0	states/eV/f.u.
E_form (uncorrected)	-1.3234	eV/atom

a = 8.899 Å, b = 9.629 Å, c = 13.000 Å
α = 90.00°, β = 90.00°, γ = 90.00°
Fractional coordinates of all 20 atoms:
Cs 0.500 0.805 0.212
Cs 0.000 0.195 0.712
Cs 0.500 0.805 0.788
Cs 0.000 0.195 0.288
Nd 0.500 0.220 0.500
Nd 0.000 0.780 0.000
Tl 0.000 0.715 0.500
Tl 0.500 0.285 0.000
I 0.500 0.213 0.260
I 0.500 0.213 0.740
I 0.000 0.787 0.240
I 0.000 0.787 0.760
I 0.258 0.983 0.500
I 0.742 0.983 0.500
I 0.241 0.435 0.500
I 0.759 0.435 0.500
I 0.741 0.565 0.000
I 0.259 0.565 0.000
I 0.242 0.017 0.000
I 0.758 0.017 0.000

Entry 5:
Here is an optimized crystal structure of PaCuSb3 from the Alexandria database. Energies are from PBE.

volume	119.6	Å³/f.u.
DOS at the Fermi energy	5.4	states/eV/f.u.
E_form (uncorrected)	-0.2429	eV/atom

a = 6.090 Å, b = 6.218 Å, c = 12.629 Å
α = 90.00°, β = 90.00°, γ = 90.00°
Fractional coordinates of all 20 atoms:
Pa 0.750 0.498 0.694
Pa 0.250 0.502 0.306
Pa 0.750 0.998 0.306
Pa 0.250 0.002 0.694
Cu 0.500 0.250 0.112
Cu 0.000 0.750 0.888
Cu 0.500 0.750 0.888
Cu 0.000 0.250 0.112
Sb 0.000 0.250 0.500
Sb 0.500 0.750 0.500
Sb 0.000 0.750 0.500
Sb 0.500 0.250 0.500
Sb 0.250 0.094 0.940
Sb 0.750 0.906 0.060
Sb 0.250 0.594 0.060
Sb 0.750 0.406 0.940
Sb 0.250 0.500 0.745
Sb 0.750 0.500 0.255
Sb 0.250 0.000 0.255
Sb 0.750 0.000 0.745

Entry 6:
Here is an optimized crystal structure of GdEr2Si from the Alexandria database. Energies are from PBE.

volume	98.2	Å³/f.u.
DOS at the Fermi energy	4.1	states/eV/f.u.
E above lowest polymorph	0.00	eV per formula unit
E_form (uncorrected)	-0.2647	eV/atom

a = 4.575 Å, b = 4.633 Å, c = 4.633 Å
α = 90.00°, β = 90.00°, γ = 90.00°
Fractional coordinates of all 4 atoms:
Si 0.500 0.500 0.500
Gd 0.500 0.000 0.000
Er 0.000 0.000 0.500
Er 0.000 0.500 0.000